Entry 1:
Density functional theory data (PBE) for an optimized crystal structure of ZrMn6Ga2Sn4.

```
ZrMn6Ga2Sn4
1.0
0.946 5.007 1.578
-3.204 -3.144 2.882
6.904 -2.771 4.652
Mn Sn Zr Ga
6 4 1 2
direct
0.500 0.500 0.245
0.000 0.500 0.755
0.500 0.500 0.755
0.500 0.000 0.245
0.000 0.500 0.245
0.500 0.000 0.755
0.000 0.000 0.165
0.667 0.333 0.500
0.333 0.667 0.500
0.000 0.000 0.835
0.000 0.000 0.500
0.333 0.667 0.000
0.667 0.333 0.000
```

Properties
SG = P6/mmm, No. 191
Size of the total moment = 13.60 μB/f.u.
Energy relative to the elements = -1.40 eV per formula unit

=====

Entry 2:
Density functional theory data (PBE) for an optimized crystal structure of ZrMn6Ga2Sn4.

```
ZrMn6Ga2Sn4
1.0
2.647 -4.585 0.000
2.647 4.585 0.000
0.000 0.000 8.987
Ga Mn Zr Sn
2 6 1 4
direct
0.000 0.000 0.807
0.000 0.000 0.193
0.000 0.500 0.748
0.500 0.000 0.748
0.000 0.500 0.252
0.500 0.000 0.252
0.500 0.500 0.748
0.500 0.500 0.252
0.000 0.000 0.500
0.333 0.667 0.500
0.667 0.333 0.500
0.667 0.333 0.000
0.333 0.667 0.000
```

Properties
SG = P6/mmm, No. 191
Size of the total moment = 13.24 μB/f.u.
Energy relative to the elements = -0.96 eV per formula unit

=====

Entry 3:
Density functional theory data (PBE) for an optimized crystal structure of SrMnGa2.

```
SrMnGa2
1.0
4.919 0.000 0.000
0.000 4.919 0.000
2.459 2.459 8.874
Ga Sr Mn
4 2 2
direct
0.373 0.125 0.250
0.875 0.623 0.750
0.377 0.625 0.250
0.375 0.627 0.750
0.750 0.250 0.500
0.000 0.000 0.000
0.500 0.500 0.000
0.250 0.750 0.500
```

Properties
SG = I-42d, No. 122
Size of the total moment = 3.36 μB/f.u.
Energy relative to the elements = 0.29 eV per formula unit

=====

Entry 4:
Density functional theory data (PBE) for an optimized crystal structure of SrMnZn2Ga.

```
SrMnZn2Ga
1.0
-4.085 1.548 2.005
0.858 -2.735 3.858
2.330 3.555 2.002
Ga Zn Mn Sr
1 2 1 1
direct
0.000 0.000 0.500
0.000 0.500 0.000
0.500 0.000 0.000
0.000 0.000 0.000
0.500 0.500 0.500
```

Properties
SG = P4/mmm, No. 123
Size of the total moment = 1.40 μB/f.u.
Energy relative to the elements = -0.20 eV per formula unit

=====

Entry 5:
Density functional theory data (PBE) for an optimized crystal structure of TaMnGa.

```
TaMnGa
1.0
-3.637 -1.707 2.598
0.727 -2.582 -0.679
5.623 1.836 4.673
Ta Ga Mn
2 2 2
direct
0.336 0.836 0.671
0.664 0.164 0.329
0.854 0.354 0.708
0.146 0.646 0.292
0.705 0.500 0.000
0.295 0.500 0.000
```

Properties
SG = Immm, No. 71
Size of the total moment = 0.00 μB/f.u.
Energy relative to the elements = 0.52 eV per formula unit

=====

Entry 6:
Density functional theory data (PBE) for an optimized crystal structure of Ta6MnGa3.

```
Ta6MnGa3
1.0
4.980 0.000 0.044
0.000 7.592 0.000
0.147 0.000 9.152
Ta Ga Mn
12 6 2
direct
0.567 0.190 0.572
0.933 0.690 0.928
0.359 0.559 0.741
0.429 0.837 0.062
0.859 0.941 0.241
0.433 0.810 0.428
0.641 0.441 0.259
0.071 0.337 0.438
0.141 0.059 0.759
0.067 0.310 0.072
0.929 0.663 0.562
0.571 0.163 0.938
0.122 0.616 0.239
0.000 0.000 0.500
0.378 0.116 0.261
0.622 0.884 0.739
0.500 0.500 0.000
0.878 0.384 0.761
0.000 0.000 0.000
0.500 0.500 0.500
```

Properties
SG = P2_1/c, No. 14
Size of the total moment = 0.00 μB/f.u.
Energy relative to the elements = 0.81 eV per formula unit

=====

Entry 7:
Density functional theory data (PBE) for an optimized crystal structure of TaMnGa.

```
TaMnGa
1.0
4.466 -0.220 -2.141
-2.700 4.132 -0.455
-0.351 0.220 4.940
Ga Ta Mn
2 2 2
direct
0.500 0.000 0.000
0.000 0.500 0.000
0.250 0.128 0.378
0.750 0.872 0.622
0.000 0.500 0.500
0.500 0.500 0.000
```

Properties
SG = Imma, No. 74
Size of the total moment = 1.39 μB/f.u.
Energy relative to the elements = -0.59 eV per formula unit

=====

Entry 8:
Density functional theory data (PBE) for an optimized crystal structure of Ta3MnGa.

```
Ta3MnGa
1.0
4.584 0.000 0.000
0.000 4.584 0.000
0.000 0.000 4.584
Mn Ga Ta
1 1 3
direct
0.000 0.000 0.000
0.500 0.500 0.500
0.500 0.000 0.000
0.000 0.500 0.000
0.000 0.000 0.500
```

Properties
SG = Pm-3m, No. 221
Size of the total moment = 0.00 μB/f.u.
Energy relative to the elements = 3.56 eV per formula unit